! PmTmAl (PBE, relaxed); values from VASP
! - DOS at the Fermi energy: 4.02 states/eV per cell
! - Excess energy over the best structure of this formula in the dataset: 5.41 kcal/mol of atoms
! - ΔE_f: 0.002 eV per atom
! - Space-group type: No. 47
&SYSTEM
  ibrav = 0, nat = 3, ntyp = 3
/
ATOMIC_SPECIES
Pm 145.00 Pm.upf
Tm 168.93 Tm.upf
Al 26.98 Al.upf
CELL_PARAMETERS angstrom
3.4458 0.0000 0.0000
0.0000 4.9800 0.0000
0.0000 0.0000 5.2898
ATOMIC_POSITIONS crystal
Pm 0.0000 0.0000 0.0000
Tm 0.0000 0.5000 0.5000
Al 0.5000 0.0000 0.5000